(1)
{"formula": "Li2AsOs", "functional": "PBE", "state": "relaxed", "cell": [[-1.7797, 1.0768, -4.5504], [-2.8819, -1.7262, 3.7079], [-1.1700, 2.4879, 0.6883]], "species": ["As", "Li", "Li", "Os"], "fractional_positions": [[0.0000, 0.5000, 0.5000], [0.0000, 0.0000, 0.0000], [0.5000, 0.5000, 0.0000], [0.5000, 0.0000, 0.5000]], "dos_ef_per_ev_cell": 1.85, "e_above_lowest_polymorph_kj_per_mol_fu": 56, "spacegroup": "C2/m"}

(2)
{"formula": "Li2AsOs", "functional": "PBE", "state": "relaxed", "cell": [[8.9818, -0.0023, -0.0013], [8.5613, 2.7161, -0.0013], [8.5613, 1.3244, 2.3714]], "species": ["Os", "Li", "Li", "As"], "fractional_positions": [[0.2500, 0.2500, 0.2500], [0.4983, 0.4983, 0.4983], [0.0017, 0.0017, 0.0017], [0.7500, 0.7500, 0.7500]], "dos_ef_per_ev_cell": 1.61, "e_above_lowest_polymorph_kj_per_mol_fu": 66, "spacegroup": "R-3m"}

(3)
{"formula": "LiAs2Os", "functional": "PBE", "state": "relaxed", "cell": [[-1.0463, -0.2646, 4.2316], [-3.9169, 1.3610, 1.3700], [-2.9760, -2.9034, 1.3360]], "species": ["As", "As", "Os", "Li"], "fractional_positions": [[0.7500, 0.7500, 0.7500], [0.2500, 0.2500, 0.2500], [0.5000, 0.5000, 0.5000], [0.0000, 0.0000, 0.0000]], "dos_ef_per_ev_cell": 1.47, "e_above_lowest_polymorph_kj_per_mol_fu": 0, "spacegroup": "Fm-3m"}